1.
The following is a DFT calculation (PBE-GGA) of Tl3HgGe after structural relaxation.

Structure (POSCAR):
```
Tl3HgGe
1.0
5.6773 0.0000 0.0000
0.0000 5.6773 0.0000
0.0000 0.0000 5.6773
Tl Hg Ge
3 1 1
Direct
0.0000 0.0000 0.5000
0.0000 0.5000 0.0000
0.5000 0.0000 0.0000
0.5000 0.5000 0.5000
0.0000 0.0000 0.0000
```

V = 36.6 Å³/atom
excess energy over the best structure of this formula in the dataset = 0.0 meV per atom
D(E_F) = 0.527 states/eV/atom
symmetry = Pm-3m, No. 221

---

2.
The following is a DFT calculation (PBE-GGA) of EuHoGe2 after structural relaxation.

Structure (POSCAR):
```
EuHoGe2
1.0
3.8320 0.0000 0.0000
0.0000 3.8320 0.0000
0.0000 0.0000 6.6408
Eu Ho Ge
1 1 2
Direct
0.0000 0.0000 0.0000
0.0000 0.0000 0.5000
0.5000 0.5000 0.2976
0.5000 0.5000 0.7024
```

V = 24.4 Å³/atom
excess energy over the best structure of this formula in the dataset = 0.0 meV per atom
D(E_F) = 0.555 states/eV/atom
symmetry = P4/mmm, No. 123

---

3.
The following is a DFT calculation (PBE-GGA) of ZnSb2Rh after structural relaxation.

Structure (POSCAR):
```
ZnSb2Rh
1.0
4.6350 0.0000 0.0000
0.0000 4.6350 0.0000
0.0000 0.0000 3.6935
Zn Sb Rh
1 2 1
Direct
0.0000 0.0000 0.0000
0.0000 0.5000 0.5000
0.5000 0.0000 0.5000
0.5000 0.5000 0.0000
```

V = 19.8 Å³/atom
D(E_F) = 0.538 states/eV/atom
symmetry = P4/mmm, No. 123
raw formation energy = 102 meV per atom

---

4.
The following is a DFT calculation (PBE-GGA) of LiSmEuPt after structural relaxation.

Structure (POSCAR):
```
LiSmEuPt
1.0
7.2276 0.0000 0.0000
0.0000 7.2276 0.0000
0.0000 0.0000 7.2276
Li Sm Eu Pt
4 4 4 4
Direct
0.0000 0.0000 0.0000
0.0000 0.5000 0.5000
0.5000 0.0000 0.5000
0.5000 0.5000 0.0000
0.2500 0.2500 0.7500
0.2500 0.7500 0.2500
0.7500 0.2500 0.2500
0.7500 0.7500 0.7500
0.2500 0.2500 0.2500
0.2500 0.7500 0.7500
0.7500 0.2500 0.7500
0.7500 0.7500 0.2500
0.0000 0.0000 0.5000
0.0000 0.5000 0.0000
0.5000 0.0000 0.0000
0.5000 0.5000 0.5000
```

total energy = -6.27 eV/atom
V = 23.6 Å³/atom
D(E_F) = 1.056 states/eV/atom
symmetry = F-43m, No. 216

---

5.
The following is a DFT calculation (PBE-GGA) of TbGa2IO8 after structural relaxation.

Structure (POSCAR):
```
TbGa2IO8
1.0
3.5119 -3.1899 0.0000
3.5119 3.1899 0.0000
-0.9298 0.0000 6.6349
Tb Ga I O
1 2 1 8
Direct
0.0000 0.0000 0.0000
0.4522 0.4522 0.7781
0.5478 0.5478 0.2219
0.0000 0.0000 0.5000
0.1947 0.7912 0.2842
0.2088 0.8053 0.7158
0.2697 0.2697 0.5297
0.3228 0.3228 0.0122
0.6772 0.6772 0.9878
0.7303 0.7303 0.4703
0.7912 0.1947 0.2842
0.8053 0.2088 0.7158
```

V = 12.4 Å³/atom
symmetry = C2/m, No. 12
raw formation energy = -1500 meV per atom

---

6.
The following is a DFT calculation (PBE-GGA) of Cr2InRh after structural relaxation.

Structure (POSCAR):
```
Cr2InRh
1.0
4.0596 0.0000 0.0000
0.0000 4.0596 0.0000
0.0000 0.0000 3.8764
Cr In Rh
2 1 1
Direct
0.0000 0.5000 0.0000
0.5000 0.0000 0.0000
0.0000 0.0000 0.5000
0.5000 0.5000 0.5000
```

total energy = -7.07 eV/atom
V = 16.0 Å³/atom
D(E_F) = 0.962 states/eV/atom
symmetry = P4/mmm, No. 123

---

7.
The following is a DFT calculation (PBE-GGA) of Cs2PuAu2S4 after structural relaxation.

Structure (POSCAR):
```
Cs2PuAu2S4
1.0
9.0152 -2.1479 0.0000
9.0152 2.1479 0.0000
-3.1723 0.0000 7.1085
Cs Pu Au S
2 1 2 4
Direct
0.1399 0.1399 0.1213
0.8601 0.8601 0.8787
0.0000 0.0000 0.5000
0.3591 0.3591 0.4509
0.6409 0.6409 0.5491
0.1729 0.1729 0.6914
0.4988 0.4988 0.7264
0.5012 0.5012 0.2736
0.8271 0.8271 0.3086
```

V = 30.6 Å³/atom
D(E_F) = 1.124 states/eV/atom
symmetry = C2/m, No. 12
raw formation energy = -919 meV per atom

---

8.
The following is a DFT calculation (PBE-GGA) of InCu2W after structural relaxation.

Structure (POSCAR):
```
InCu2W
1.0
2.8122 0.0000 0.0000
0.0000 3.8566 0.0000
-0.0763 0.0000 5.7555
In Cu W
1 2 1
Direct
0.0000 0.0000 0.0000
0.4967 0.5000 0.2774
0.5033 0.5000 0.7226
0.0000 0.0000 0.5000
```

total energy = -5.56 eV/atom
V = 15.6 Å³/atom
D(E_F) = 0.769 states/eV/atom
symmetry = P2/m, No. 10

---

9.
The following is a DFT calculation (PBE-GGA) of Pm7NdNi2 after structural relaxation.

Structure (POSCAR):
```
Pm7NdNi2
1.0
4.4715 -7.2128 0.0000
4.4715 7.2128 0.0000
0.0000 0.0000 5.1584
Pm Nd Ni
7 1 2
Direct
0.0000 0.0000 0.0000
0.1769 0.4460 0.0000
0.2108 0.7892 0.5000
0.4460 0.1769 0.0000
0.5540 0.8231 0.0000
0.7892 0.2108 0.5000
0.8231 0.5540 0.0000
0.5000 0.5000 0.5000
0.1966 0.8034 0.0000
0.8034 0.1966 0.0000
```

total energy = -4.87 eV/atom
V = 33.3 Å³/atom
D(E_F) = 1.476 states/eV/atom
symmetry = Cmmm, No. 65

---

10.
The following is a DFT calculation (PBE-GGA) of RbAgSn2 after structural relaxation.

Structure (POSCAR):
```
RbAgSn2
1.0
3.8103 0.0000 0.0000
0.0000 3.8103 0.0000
0.0000 0.0000 8.3868
Rb Ag Sn
1 1 2
Direct
0.0000 0.0000 0.0000
0.0000 0.0000 0.5000
0.5000 0.5000 0.3263
0.5000 0.5000 0.6737
```

V = 30.4 Å³/atom
excess energy over the best structure of this formula in the dataset = 116.2 meV per atom
D(E_F) = 0.387 states/eV/atom
symmetry = P4/mmm, No. 123

---

11.
The following is a DFT calculation (PBE-GGA) of LiAc2Al4Cd3 after structural relaxation.

Structure (POSCAR):
```
LiAc2Al4Cd3
1.0
4.6071 0.0000 0.0000
0.0000 4.6071 0.0000
0.0000 0.0000 11.4451
Li Ac Al Cd
1 2 4 3
Direct
0.0000 0.0000 0.0000
0.0000 0.5000 0.7495
0.5000 0.0000 0.2505
0.0000 0.0000 0.5000
0.0000 0.5000 0.1295
0.5000 0.0000 0.8705
0.5000 0.5000 0.5000
0.0000 0.5000 0.3645
0.5000 0.0000 0.6355
0.5000 0.5000 0.0000
```

total energy = -3.05 eV/atom
V = 24.3 Å³/atom
D(E_F) = 0.444 states/eV/atom
symmetry = P-4m2, No. 115

---

12.
The following is a DFT calculation (PBE-GGA) of CrIn2Cl4 after structural relaxation.

Structure (POSCAR):
```
CrIn2Cl4
1.0
16.8668 0.0000 0.0000
0.0000 3.6066 0.0000
-2.7185 0.0000 6.8018
Cr In Cl
2 4 8
Direct
0.0000 0.0000 0.0000
0.5000 0.5000 0.0000
0.2305 0.5000 0.7160
0.2695 0.0000 0.2841
0.7305 0.0000 0.7160
0.7695 0.5000 0.2841
0.0648 0.5000 0.2258
0.1430 0.0000 0.8817
0.3570 0.5000 0.1183
0.4352 0.0000 0.7742
0.5648 0.0000 0.2258
0.6430 0.5000 0.8817
0.8570 0.0000 0.1183
0.9352 0.5000 0.7742
```

V = 29.6 Å³/atom
excess energy over the best structure of this formula in the dataset = 34.2 meV per atom
D(E_F) = 0.037 states/eV/atom
symmetry = C2/m, No. 12
raw formation energy = -837 meV per atom